[1]
Entry from Alexandria via LeMat-Bulk: Sr3Ac2UAs6 after structural relaxation (PBE).

a b c (Å): 7.704 13.332 7.667
angles (deg): 90.00 109.81 90.00
Space group C2/m (No. 12)
Unique sites:
Sr (0.000, 0.000, 0.000) x2
Sr (0.000, 0.329, 0.000) x4
Ac (0.000, 0.166, 0.500) x4
U (0.000, 0.500, 0.500) x2
As (0.223, 0.500, 0.276) x4
As (0.227, 0.349, 0.728) x8

## Properties
Total moment in μB per atom: 0.000
V in Å³ per cell: 740.9
Crystal system: monoclinic


[2]
Entry from Alexandria via LeMat-Bulk: Sr2AcUAs4 after structural relaxation (PBE).

a b c (Å): 7.626 4.406 7.629
angles (deg): 90.00 109.41 90.00
Space group P2/m (No. 10)
Unique sites:
Sr (0.000, 0.000, 0.000) x1
Sr (0.000, 0.500, 0.500) x1
Ac (0.500, 0.000, 0.500) x1
U (0.500, 0.500, 0.000) x1
As (0.272, 0.500, 0.229) x2
As (0.282, 0.000, 0.782) x2

## Properties
Total moment in μB per atom: 0.125
V in Å³ per cell: 241.8
Crystal system: monoclinic


[3]
Entry from Alexandria via LeMat-Bulk: SrAcZnAs after structural relaxation (PBE).

a b c (Å): 7.727 7.727 7.727
angles (deg): 90.00 90.00 90.00
Space group F-43m (No. 216)
Unique sites:
Sr (0.000, 0.000, 0.000) x4
Ac (0.000, 0.000, 0.500) x4
Zn (0.250, 0.250, 0.750) x4
As (0.250, 0.250, 0.250) x4

## Properties
Total moment in μB per atom: 0.000
V in Å³ per cell: 461.3
Crystal system: cubic


[4]
Entry from Alexandria via LeMat-Bulk: AcTaAs2 after structural relaxation (PBE).

a b c (Å): 4.0427 4.0427 20.3658
angles (deg): 90.00 90.00 120.00
Space group R-3m (No. 166, hexagonal axes)
Unique sites:
Ac (0.0000, 0.0000, 0.0000) x3
Ta (0.0000, 0.0000, 0.5000) x3
As (0.0000, 0.0000, 0.2330) x6

## Properties
Total moment in μB per atom: 0.000
V in Å³ per cell: 288.3
Crystal system: trigonal
Energy above the lowest structure with this stoichiometry in meV per atom: 0.0


[5]
Entry from Alexandria via LeMat-Bulk: AcTaAs2 after structural relaxation (PBE).

a b c (Å): 3.441 3.441 7.353
angles (deg): 90.00 90.00 90.00
Space group P4/mmm (No. 123)
Unique sites:
Ac (0.000, 0.000, 0.000) x1
Ta (0.000, 0.000, 0.500) x1
As (0.500, 0.500, 0.303) x2

## Properties
Total moment in μB per atom: 0.000
V in Å³ per cell: 87.0
Crystal system: tetragonal
Energy above the lowest structure with this stoichiometry in meV per atom: 254.8


[6]
Entry from Alexandria via LeMat-Bulk: Ac2TbAs after structural relaxation (PBE).

a b c (Å): 4.0728 4.0728 33.5839
angles (deg): 90.00 90.00 120.00
Space group R-3m (No. 166, hexagonal axes)
Unique sites:
Ac (0.0000, 0.0000, 0.1088) x6
Tb (0.0000, 0.0000, 0.0000) x3
As (0.0000, 0.0000, 0.5000) x3

## Properties
Total moment in μB per atom: 0.138
V in Å³ per cell: 482.4
Crystal system: trigonal


[7]
Entry from Alexandria via LeMat-Bulk: AcTbAs after structural relaxation (PBE).

a b c (Å): 3.961 3.961 11.704
angles (deg): 90.00 90.00 90.00
Space group I4mm (No. 107)
Unique sites:
Ac (0.000, 0.000, 0.000) x2
Tb (0.000, 0.000, 0.285) x2
As (0.000, 0.000, 0.710) x2

## Properties
Total moment in μB per atom: 0.000
V in Å³ per cell: 183.6
Crystal system: tetragonal
Energy above the lowest structure with this stoichiometry in meV per atom: 0.0


[8]
Entry from Alexandria via LeMat-Bulk: AcTbAs2 after structural relaxation (PBE).

a b c (Å): 4.2890 4.2890 22.2883
angles (deg): 90.00 90.00 120.00
Space group R3m (No. 160, hexagonal axes)
Unique sites:
Ac (0.0000, 0.0000, 0.0000) x3
Tb (0.0000, 0.0000, 0.8290) x3
As (0.0000, 0.0000, 0.4193) x3
As (0.0000, 0.0000, 0.5743) x3

## Properties
Total moment in μB per atom: 0.000
V in Å³ per cell: 355.1
Crystal system: trigonal
Energy above the lowest structure with this stoichiometry in meV per atom: 163.4


[9]
Entry from Alexandria via LeMat-Bulk: AcTbAs2 after structural relaxation (PBE).

a b c (Å): 5.302 5.302 3.744
angles (deg): 90.00 90.00 90.00
Space group P4/mmm (No. 123)
Unique sites:
Ac (0.000, 0.000, 0.000) x1
Tb (0.500, 0.500, 0.000) x1
As (0.000, 0.500, 0.500) x2

## Properties
Total moment in μB per atom: 0.000
V in Å³ per cell: 105.2
Crystal system: tetragonal
Energy above the lowest structure with this stoichiometry in meV per atom: 447.6


[10]
Entry from Alexandria via LeMat-Bulk: AcTbAs after structural relaxation (PBE).

a b c (Å): 4.9188 4.9188 4.5287
angles (deg): 90.00 90.00 120.00
Space group P3m1 (No. 156)
Unique sites:
Ac (0.0000, 0.0000, 0.0000) x1
Tb (0.6667, 0.3333, 0.4964) x1
As (0.3333, 0.6667, 0.4493) x1

## Properties
Total moment in μB per atom: 0.000
V in Å³ per cell: 94.9
Crystal system: trigonal
Energy above the lowest structure with this stoichiometry in meV per atom: 108.6


[11]
Entry from Alexandria via LeMat-Bulk: AcTbAs2 after structural relaxation (PBE).

a b c (Å): 7.474 7.474 7.474
angles (deg): 90.00 90.00 90.00
Space group Fm-3m (No. 225)
Unique sites:
Ac (0.000, 0.000, 0.000) x4
Tb (0.000, 0.000, 0.500) x4
As (0.250, 0.250, 0.250) x8

## Properties
Total moment in μB per atom: 0.000
V in Å³ per cell: 417.5
Crystal system: cubic
Energy above the lowest structure with this stoichiometry in meV per atom: 411.7


[12]
Entry from Alexandria via LeMat-Bulk: AcTbAs after structural relaxation (PBE).

a b c (Å): 5.0762 5.0762 25.0997
angles (deg): 90.00 90.00 120.00
Space group R-3m (No. 166, hexagonal axes)
Unique sites:
Ac (0.0000, 0.0000, 0.1243) x6
Tb (0.0000, 0.0000, 0.3745) x6
As (0.0000, 0.0000, 0.2593) x6

## Properties
Total moment in μB per atom: 0.000
V in Å³ per cell: 560.1
Crystal system: trigonal
Energy above the lowest structure with this stoichiometry in meV per atom: 5.6


[13]
Entry from Alexandria via LeMat-Bulk: Ac3TbAs4 after structural relaxation (PBE).

a b c (Å): 7.714 8.921 7.713
angles (deg): 90.00 109.52 90.00
Space group P2/c (No. 13)
Unique sites:
Ac (0.000, 0.123, 0.250) x2
Ac (0.000, 0.372, 0.750) x2
Ac (0.500, 0.372, 0.250) x2
Tb (0.500, 0.122, 0.750) x2
As (0.256, 0.367, 0.509) x4
As (0.266, 0.117, 0.999) x4

## Properties
Total moment in μB per atom: 0.000
V in Å³ per cell: 500.3
Crystal system: monoclinic


no.,raw total energy (eV/atom)
1,-5.55
2,-5.78
3,-3.48
4,-7.06
5,-6.81
6,-4.65
7,-5.16
8,-5.82
9,-5.54
10,-5.06
11,-5.58
12,-5.16
13,-5.90